The following is a DFT calculation (PBE) of a geometry-optimized MnSbTe2Se structure.

Cell: 5.300 5.300 5.322 Å, 90.00 90.00 90.00°
Last column: magnetic moment on the atom in μB.
Sites, in units of the cell vectors:
Sb  0.000  0.000  0.500  0.02
Se  0.000  0.000  0.000  0.01
Te  0.500  0.000  0.000  -0.04
Te  0.000  0.500  0.000  -0.04
Mn  0.500  0.500  0.500  0.14

Output
E in eV/atom: -3.29
Formation energy without anion corrections in eV per atom: 1.325
Total moment in μB/f.u.: 0.09
Relative energy among the computed polymorphs in kcal/mol of atoms: 20.343